No. 1
The following is a GGA-PBE calculation of crystalline SrPr2Pb at its relaxed geometry, from Alexandria via LeMat-Bulk.

Geometry as POSCAR:
```
SrPr2Pb
1.0
3.718 0.000 0.000
1.859 3.219 0.000
1.859 1.073 12.634
Pb Pr Sr
1 2 1
direct
0.500 0.500 0.500
0.096 0.096 0.712
0.904 0.904 0.288
0.000 0.000 0.000
```

## Properties
polymorph energy (0 for the lowest one)	0.279	eV/atom
magnetization	0.00	μB per cell
symmetry	R-3m (166)
calculated formation energy	0.04	eV/atom
calculated volume	37.8	A^3/atom

***

No. 2
The following is a GGA-PBE calculation of crystalline SrPrTlPb at its relaxed geometry, from Alexandria via LeMat-Bulk.

Geometry as POSCAR:
```
SrPrTlPb
1.0
3.773 0.000 0.000
0.000 3.773 0.000
0.000 0.000 9.067
Sr Pr Tl Pb
1 1 1 1
direct
0.000 0.000 0.854
0.000 0.000 0.361
0.500 0.500 0.598
0.500 0.500 0.115
```

## Properties
polymorph energy (0 for the lowest one)	0.000	eV/atom
magnetization	0.00	μB per cell
symmetry	P4mm (99)
calculated formation energy	-0.45	eV/atom
calculated volume	32.3	A^3/atom